No. 1
# Y2Ho2BrNCl4

Crystalline Y2Ho2BrNCl4 at its relaxed geometry (PBE-GGA, OQMD via LeMat-Bulk).

Cell: 8.568 8.568 7.991 Å, 103.60 103.60 24.76°
Sites, in units of the cell vectors:
Y 0.001 0.001 0.300
Y 0.999 0.999 0.700
Ho 0.357 0.357 0.425
Ho 0.643 0.643 0.575
Br 0.500 0.500 0.000
N 0.500 0.500 0.500
Cl 0.166 0.166 0.830
Cl 0.172 0.172 0.341
Cl 0.828 0.828 0.659
Cl 0.834 0.834 0.170

Total magnetic moment ... 0.0 μB per formula unit
Symmetry ... C2/m (12)
Final energy ... -57.48 eV per cell


No. 2
# YHoBr2NCl

Crystalline YHoBr2NCl at its relaxed geometry (PBE-GGA, OQMD via LeMat-Bulk).

Cell: 8.884 8.884 11.101 Å, 121.79 121.79 25.07°
Sites, in units of the cell vectors:
Y 0.133 0.133 0.287
Y 0.867 0.867 0.713
Ho 0.421 0.421 0.040
Ho 0.579 0.579 0.960
Br 0.048 0.048 0.744
Br 0.334 0.334 0.480
Br 0.666 0.666 0.520
Br 0.952 0.952 0.256
N 0.428 0.428 0.845
N 0.572 0.572 0.155
Cl 0.207 0.207 0.110
Cl 0.793 0.793 0.890

Total magnetic moment ... 0.0 μB per formula unit
Polymorph energy (0 for the lowest one) ... 0.0 meV per atom
Symmetry ... C2/m (12)
Final energy ... -72.39 eV per cell


No. 3
# Ho2S2BrCl

Crystalline Ho2S2BrCl at its relaxed geometry (PBE-GGA, OQMD via LeMat-Bulk).

Cell: 4.008 5.338 9.089 Å, 90.00 90.00 90.00°
Sites, in units of the cell vectors:
Ho 0.000 0.000 0.000
Ho 0.500 0.500 0.255
S 0.000 0.500 0.051
S 0.500 0.000 0.204
Br 0.500 0.000 0.783
Cl 0.000 0.500 0.448

Total magnetic moment ... 0.0 μB per formula unit
Symmetry ... Pmm2 (25)
Final energy ... -33.54 eV per cell


No. 4
# MoI2Br2Cl

Crystalline MoI2Br2Cl at its relaxed geometry (PBE-GGA, OQMD via LeMat-Bulk).

Cell: 6.703 7.242 10.141 Å, 106.81 92.53 114.94°
Sites, in units of the cell vectors:
Mo 0.111 0.219 0.218
Mo 0.889 0.781 0.782
I 0.078 0.806 0.560
I 0.256 0.191 0.954
I 0.744 0.809 0.046
I 0.922 0.194 0.440
Br 0.301 0.005 0.251
Br 0.440 0.566 0.330
Br 0.560 0.434 0.670
Br 0.699 0.995 0.749
Cl 0.100 0.631 0.853
Cl 0.900 0.369 0.147

Total magnetic moment ... 1.0 μB per formula unit
Polymorph energy (0 for the lowest one) ... 6.4 meV per atom
Symmetry ... P-1 (2)
Final energy ... -42.73 eV per cell


No. 5
# MoIBr3Cl

Crystalline MoIBr3Cl at its relaxed geometry (PBE-GGA, OQMD via LeMat-Bulk).

Cell: 6.684 7.207 9.928 Å, 107.82 92.26 115.42°
Sites, in units of the cell vectors:
Mo 0.105 0.210 0.210
Mo 0.895 0.790 0.790
I 0.075 0.805 0.560
I 0.925 0.195 0.440
Br 0.239 0.180 0.955
Br 0.298 0.997 0.241
Br 0.438 0.564 0.327
Br 0.562 0.436 0.673
Br 0.702 0.003 0.759
Br 0.761 0.820 0.045
Cl 0.104 0.640 0.861
Cl 0.896 0.360 0.139

Total magnetic moment ... 1.0 μB per formula unit
Polymorph energy (0 for the lowest one) ... 0.0 meV per atom
Symmetry ... P-1 (2)
Final energy ... -43.89 eV per cell


No. 6
# MoIBr3Cl

Crystalline MoIBr3Cl at its relaxed geometry (PBE-GGA, OQMD via LeMat-Bulk).

Cell: 6.698 7.243 9.823 Å, 108.93 91.77 116.20°
Sites, in units of the cell vectors:
Mo 0.103 0.207 0.207
Mo 0.897 0.793 0.793
I 0.074 0.808 0.559
I 0.926 0.192 0.441
Br 0.118 0.629 0.862
Br 0.301 0.001 0.239
Br 0.441 0.565 0.325
Br 0.559 0.435 0.675
Br 0.699 0.999 0.761
Br 0.882 0.371 0.138
Cl 0.219 0.166 0.958
Cl 0.781 0.834 0.042

Total magnetic moment ... 1.0 μB per formula unit
Polymorph energy (0 for the lowest one) ... 2.3 meV per atom
Symmetry ... P-1 (2)
Final energy ... -43.86 eV per cell


No. 7
# MoI2Br2Cl

Crystalline MoI2Br2Cl at its relaxed geometry (PBE-GGA, OQMD via LeMat-Bulk).

Cell: 6.732 7.322 9.848 Å, 108.61 91.36 114.86°
Sites, in units of the cell vectors:
Mo 0.099 0.204 0.204
Mo 0.901 0.796 0.796
I 0.078 0.811 0.561
I 0.455 0.575 0.332
I 0.545 0.425 0.668
I 0.922 0.189 0.439
Br 0.120 0.631 0.865
Br 0.296 0.997 0.236
Br 0.704 0.003 0.764
Br 0.880 0.369 0.135
Cl 0.217 0.161 0.957
Cl 0.783 0.839 0.043

Total magnetic moment ... 1.0 μB per formula unit
Polymorph energy (0 for the lowest one) ... 4.7 meV per atom
Symmetry ... P-1 (2)
Final energy ... -42.75 eV per cell


No. 8
# MoI2Br2Cl

Crystalline MoI2Br2Cl at its relaxed geometry (PBE-GGA, OQMD via LeMat-Bulk).

Cell: 6.844 7.365 9.999 Å, 109.02 90.16 117.20°
Sites, in units of the cell vectors:
Mo 0.108 0.225 0.227
Mo 0.892 0.775 0.773
I 0.254 0.195 0.955
I 0.318 0.009 0.260
I 0.682 0.991 0.740
I 0.746 0.805 0.045
Br 0.108 0.617 0.843
Br 0.439 0.581 0.339
Br 0.561 0.419 0.661
Br 0.892 0.383 0.157
Cl 0.068 0.813 0.583
Cl 0.932 0.187 0.417

Total magnetic moment ... 1.0 μB per formula unit
Polymorph energy (0 for the lowest one) ... 16.8 meV per atom
Symmetry ... P-1 (2)
Final energy ... -42.60 eV per cell